<P>
A relaxed structure of Tb7Nd4Y. Source: the Alexandria database, functional PBE.

Calculated values
Fermi-level density of states   1.56 states/eV per atom
Calculated volume   33.4 Å³ per atom
Space-group type   No. 2

```
Tb7Nd4Y
1.0
6.589 0.000 0.000
0.922 6.829 0.000
1.981 0.441 8.908
Tb Nd Y
7 4 1
Direct
0.000 0.000 0.000 Tb
0.189 0.605 0.384 Tb
0.317 0.200 0.641 Tb
0.488 0.747 0.051 Tb
0.512 0.253 0.949 Tb
0.683 0.800 0.359 Tb
0.811 0.395 0.616 Tb
0.159 0.114 0.308 Nd
0.363 0.693 0.717 Nd
0.637 0.307 0.283 Nd
0.841 0.886 0.692 Nd
0.000 0.500 0.000 Y
```

<Q>
A relaxed structure of Tb7Nd4Y. Source: the Alexandria database, functional PBE.

Calculated values
Fermi-level density of states   1.66 states/eV per atom
Calculated volume   34.3 Å³ per atom
Space-group type   No. 12

```
Tb7Nd4Y
1.0
6.075 -2.987 0.000
6.075 2.987 0.000
-6.040 0.000 11.349
Tb Nd Y
7 4 1
Direct
0.000 0.000 0.000 Tb
0.210 0.210 0.923 Tb
0.251 0.251 0.684 Tb
0.365 0.365 0.497 Tb
0.635 0.635 0.503 Tb
0.749 0.749 0.316 Tb
0.790 0.790 0.077 Tb
0.058 0.058 0.329 Nd
0.362 0.362 0.222 Nd
0.638 0.638 0.778 Nd
0.942 0.942 0.671 Nd
0.500 0.500 0.000 Y
```

Most stable structure among those shown: <P>.